# TiCrFe2F PBE with a Hubbard U relaxed
# E = -5.08 eV/atom
# Magnetic moment = 9.11 μB/f.u.
# Space-group type = No. 123
# D(E_F) = 3.4 states/eV/f.u.
data_TiCrFe2F
_cell_length_a 5.2911
_cell_length_b 3.7082
_cell_length_c 5.2911
_cell_angle_alpha 90.00
_cell_angle_beta 90.00
_cell_angle_gamma 90.00
_symmetry_space_group_name_H-M 'P 1'
_symmetry_Int_Tables_number 1
loop_
_symmetry_equiv_pos_as_xyz
'x,y,z'
loop_
_atom_site_label
_atom_site_type_symbol
_atom_site_fract_x
_atom_site_fract_y
_atom_site_fract_z
Fe1 Fe 0.5000 0.0000 0.0000
Fe2 Fe 0.0000 0.0000 0.5000
Cr1 Cr 0.0000 0.0000 0.0000
Ti1 Ti 0.5000 0.5000 0.5000
F1 F 0.0000 0.5000 0.0000